Record 1
Compound: NbInCoOs
Source: the Open Quantum Materials Database
Functional: GGA-PBE
Structure: optimized geometry

V: 253 Å³/cell
DFT total energy: -0.2857 Ha/atom
Magnetization: 1.010 μB/f.u.
Energy above the lowest structure with this stoichiometry: 0 meV per atom

Lattice parameters (Å, degrees): 6.3263 6.3263 6.3263 90.00 90.00 90.00
Closest atoms and distances in Å follow each position.
Space group F-43m (No. 216)
Unique sites:
Nb  0.0000  0.0000  0.0000 [4 per cell]  4 Os 2.74, 4 Co 2.74
In  0.0000  0.0000  0.5000 [4 per cell]  4 Co 2.74, 4 Os 2.74
Co  0.2500  0.2500  0.7500 [4 per cell]  4 In 2.74, 4 Nb 2.74
Os  0.2500  0.2500  0.2500 [4 per cell]  4 In 2.74, 4 Nb 2.74

Record 2
Compound: Er6GaCo2
Source: the Open Quantum Materials Database
Functional: GGA-PBE
Structure: optimized geometry

V: 839 Å³/cell
DFT total energy: -0.1938 Ha/atom
Magnetization: 0.004 μB/f.u.
Energy above the lowest structure with this stoichiometry: 0 meV per atom

Lattice parameters (Å, degrees): 9.1422 9.4156 9.7435 90.00 90.00 90.00
Closest atoms and distances in Å follow each position.
Space group Immm (No. 71)
Unique sites:
Er  0.0000  0.1975  0.2392 [8 per cell]  1 Co 2.68, 1 Ga 2.98
Er  0.1885  0.5000  0.1736 [8 per cell]  3 Co 2.68-2.86
Er  0.2198  0.3190  0.5000 [8 per cell]  3 Co 2.87-2.95, 1 Ga 3.08
Ga  0.0000  0.0000  0.0000 [2 per cell]  8 Er 2.98-3.08, 2 Co 3.17
Ga  0.0000  0.0000  0.5000 [2 per cell]  8 Er 3.15-3.31
Co  0.0000  0.3371  0.0000 [4 per cell]  8 Er 2.68-2.95
Co  0.0000  0.5000  0.3843 [4 per cell]  1 Co 2.25

Record 3
Compound: BeCoAsIr
Source: the Open Quantum Materials Database
Functional: GGA-PBE
Structure: optimized geometry

V: 194 Å³/cell
DFT total energy: -0.2278 Ha/atom
Magnetization: 1.067 μB/f.u.
Energy above the lowest structure with this stoichiometry: 0 meV per atom

Lattice parameters (Å, degrees): 5.7868 5.7868 5.7868 90.00 90.00 90.00
Closest atoms and distances in Å follow each position.
Space group F-43m (No. 216)
Unique sites:
Be  0.0000  0.0000  0.0000 [4 per cell]  4 Co 2.51, 4 Ir 2.51
Co  0.2500  0.2500  0.7500 [4 per cell]  4 As 2.51, 4 Be 2.51
As  0.0000  0.0000  0.5000 [4 per cell]  4 Co 2.51, 4 Ir 2.51
Ir  0.2500  0.2500  0.2500 [4 per cell]  4 As 2.51, 4 Be 2.51

Record 4
Compound: Pm2Pa3Se
Source: the Open Quantum Materials Database
Functional: GGA-PBE
Structure: optimized geometry

V: 174 Å³/cell
DFT total energy: -0.2544 Ha/atom
Magnetization: 1.088 μB/f.u.

Lattice parameters (Å, degrees): 3.9540 3.9540 11.1324 90.00 90.00 90.00
Closest atoms and distances in Å follow each position.
Space group P-4m2 (No. 115)
Unique sites:
Pm  0.0000  0.5000  0.2476 [2 per cell]  7 Pa 3.38-3.58, 2 Se 3.39
Pa  0.0000  0.0000  0.0000 [1 per cell]  4 Se 2.80
Pa  0.0000  0.5000  0.5508 [2 per cell]  4 Pa 3.02, 1 Pm 3.38
Se  0.5000  0.5000  0.0000 [1 per cell]  4 Pa 2.80

Record 5
Compound: TmZr4Os5
Source: the Open Quantum Materials Database
Functional: GGA-PBE
Structure: optimized geometry

V: 180 Å³/cell
DFT total energy: -0.3661 Ha/atom
Formation energy from the elements: -0.483 eV per atom
Magnetization: 0.012 μB/f.u.

Lattice parameters (Å, degrees): 3.2918 3.2918 16.5676 90.00 90.00 90.00
Closest atoms and distances in Å follow each position.
Space group P4/mmm (No. 123)
Unique sites:
Tm  0.0000  0.0000  0.0000 [1 per cell]  8 Os 2.94
Zr  0.0000  0.0000  0.2009 [2 per cell]  8 Os 2.79-2.88
Zr  0.0000  0.0000  0.4005 [2 per cell]  8 Os 2.83-2.85
Os  0.5000  0.5000  0.1083 [2 per cell]  4 Zr 2.79, 4 Tm 2.94
Os  0.5000  0.5000  0.3035 [2 per cell]  8 Zr 2.83-2.88
Os  0.5000  0.5000  0.5000 [1 per cell]  8 Zr 2.85

Record 6
Compound: LiTh
Source: the Open Quantum Materials Database
Functional: GGA-PBE
Structure: optimized geometry

V: 108 Å³/cell
DFT total energy: -0.1619 Ha/atom
Magnetization: 0.001 μB/f.u.
Energy above the lowest structure with this stoichiometry: 6 meV per atom

Lattice parameters (Å, degrees): 3.3396 3.3396 11.1629 90.00 90.00 120.00
Closest atoms and distances in Å follow each position.
Space group P6_3/mmc (No. 194)
Unique sites:
Li  0.3333  0.6667  0.2500 [2 per cell]  6 Li 3.34, 6 Th 3.39
Th  0.0000  0.0000  0.0000 [2 per cell]  6 Th 3.34, 6 Li 3.39

Record 7
Compound: PaGaH
Source: the Open Quantum Materials Database
Functional: GGA-PBE
Structure: optimized geometry

V: 188 Å³/cell
DFT total energy: -0.2094 Ha/atom
Magnetization: 0.647 μB/f.u.

Lattice parameters (Å, degrees): 4.1136 11.1120 4.1121 90.00 90.00 90.00
Closest atoms and distances in Å follow each position.
Space group Cmcm (No. 63)
Unique sites:
Pa  0.0000  0.1528  0.2500 [4 per cell]  4 H 2.32-2.33
Ga  0.0000  0.4319  0.2500 [4 per cell]  2 Ga 2.55
H  0.0000  0.2513  0.7500 [4 per cell]  4 Pa 2.32-2.33

Record 8
Compound: ZrFeBOs
Source: the Open Quantum Materials Database
Functional: GGA-PBE
Structure: optimized geometry

V: 212 Å³/cell
DFT total energy: -0.3061 Ha/atom
Magnetization: 0.877 μB/f.u.
Energy above the lowest structure with this stoichiometry: 0 meV per atom

Lattice parameters (Å, degrees): 5.9659 5.9659 5.9659 90.00 90.00 90.00
Closest atoms and distances in Å follow each position.
Space group F-43m (No. 216)
Unique sites:
Zr  0.0000  0.0000  0.0000 [4 per cell]  4 Fe 2.58, 4 Os 2.58
Fe  0.2500  0.2500  0.7500 [4 per cell]  4 Zr 2.58, 4 B 2.58
B  0.0000  0.0000  0.5000 [4 per cell]  4 Fe 2.58, 4 Os 2.58
Os  0.2500  0.2500  0.2500 [4 per cell]  4 Zr 2.58, 4 B 2.58

What is the formula in the sixth record?
LiTh